#A
Crystalline MnH3Au at its relaxed geometry. Source: Alexandria via LeMat-Bulk, functional GGA-PBE.

a = 3.4484 Å, b = 3.4484 Å, c = 3.4484 Å
α = 90.00°, β = 90.00°, γ = 90.00°
With the nearest neighbours (Å) after each atom.
Fractional coordinates of all 5 atoms:
H 0.0000 0.5000 0.0000  2 Mn 1.72
H 0.0000 0.0000 0.5000  2 Mn 1.72
H 0.5000 0.0000 0.0000  2 Mn 1.72
Mn 0.0000 0.0000 0.0000  6 H 1.72
Au 0.5000 0.5000 0.5000  12 H 2.44

Results
* symmetry: Pm-3m
* M_tot: 2.69 μB per formula unit

#B
Crystalline MnH3Au at its relaxed geometry. Source: Alexandria via LeMat-Bulk, functional GGA-PBE.

a = 3.6678 Å, b = 3.6678 Å, c = 3.6678 Å
α = 90.00°, β = 90.00°, γ = 90.00°
With the nearest neighbours (Å) after each atom.
Fractional coordinates of all 5 atoms:
H 0.0000 0.5000 0.0000  2 Au 1.83
H 0.0000 0.0000 0.5000  2 Au 1.83
H 0.5000 0.0000 0.0000  2 Au 1.83
Mn 0.5000 0.5000 0.5000  12 H 2.59
Au 0.0000 0.0000 0.0000  6 H 1.83

Results
* symmetry: Pm-3m
* M_tot: 4.16 μB per formula unit

Top of the stability list: #A, leading by 19.0 kJ/mol of atoms.

#A
Crystalline MnH2Au at its relaxed geometry. Source: Alexandria via LeMat-Bulk, functional GGA-PBE.

a = 2.8967 Å, b = 2.8967 Å, c = 5.4329 Å
α = 74.54°, β = 74.54°, γ = 60.00°
With the nearest neighbours (Å) after each atom.
Fractional coordinates of all 4 atoms:
H 0.1268 0.1268 0.6196  3 Mn 1.78, 1 Au 1.97
H 0.8732 0.8732 0.3804  3 Mn 1.78, 1 Au 1.97
Mn 0.5000 0.5000 0.5000  6 H 1.78
Au 0.0000 0.0000 0.0000  2 H 1.97

Results
* symmetry: R-3m
* M_tot: 2.76 μB per formula unit

#B
Crystalline MnH2Au at its relaxed geometry. Source: Alexandria via LeMat-Bulk, functional GGA-PBE.

a = 3.8224 Å, b = 3.8224 Å, c = 3.8224 Å
α = 60.00°, β = 60.00°, γ = 60.00°
With the nearest neighbours (Å) after each atom.
Fractional coordinates of all 4 atoms:
H 0.2500 0.2500 0.2500  4 Mn 2.34, 4 Au 2.34
H 0.7500 0.7500 0.7500  4 Au 2.34, 4 Mn 2.34
Mn 0.0000 0.0000 0.0000  8 H 2.34
Au 0.5000 0.5000 0.5000  8 H 2.34

Results
* symmetry: Fm-3m
* M_tot: 3.63 μB per formula unit

#C
Crystalline MnH2Au at its relaxed geometry. Source: Alexandria via LeMat-Bulk, functional GGA-PBE.

a = 4.1845 Å, b = 4.1845 Å, c = 5.3851 Å
α = 67.14°, β = 67.14°, γ = 90.00°
With the nearest neighbours (Å) after each atom.
Fractional coordinates of all 8 atoms:
H 0.5575 0.1250 0.2500  2 Mn 1.72
H 0.1925 0.6250 0.2500  2 Mn 1.72
H 0.3750 0.4425 0.7500  2 Mn 1.72
H 0.8750 0.8075 0.7500  2 Mn 1.72
Mn 0.5000 0.5000 0.0000  4 H 1.72
Mn 0.2500 0.7500 0.5000  4 H 1.72
Au 0.0000 0.0000 0.0000  4 H 2.03
Au 0.7500 0.2500 0.5000  4 H 2.03

Results
* symmetry: I-42d
* M_tot: 3.21 μB per formula unit

Top of the stability list: #A, leading by 13.3 kJ/mol of atoms.

#A
Crystalline Mn3HAu at its relaxed geometry. Source: Alexandria via LeMat-Bulk, functional GGA-PBE.

a = 3.7190 Å, b = 3.7190 Å, c = 3.7190 Å
α = 90.00°, β = 90.00°, γ = 90.00°
With the nearest neighbours (Å) after each atom.
Fractional coordinates of all 5 atoms:
H 0.0000 0.0000 0.0000  6 Mn 1.86
Mn 0.0000 0.5000 0.0000  2 H 1.86
Mn 0.0000 0.0000 0.5000  2 H 1.86
Mn 0.5000 0.0000 0.0000  2 H 1.86
Au 0.5000 0.5000 0.5000  12 Mn 2.63

Results
* symmetry: Pm-3m
* M_tot: 0.00 μB per formula unit

#B
Crystalline Mn3HAu at its relaxed geometry. Source: Alexandria via LeMat-Bulk, functional GGA-PBE.

a = 5.0353 Å, b = 5.0353 Å, c = 5.0353 Å
α = 90.00°, β = 90.00°, γ = 90.00°
With the nearest neighbours (Å) after each atom.
Fractional coordinates of all 5 atoms:
H 0.5000 0.5000 0.5000  12 Mn 3.56
Mn 0.0000 0.5000 0.0000  2 Au 2.52
Mn 0.0000 0.0000 0.5000  2 Au 2.52
Mn 0.5000 0.0000 0.0000  2 Au 2.52
Au 0.0000 0.0000 0.0000  6 Mn 2.52

Results
* symmetry: Pm-3m
* M_tot: 13.82 μB per formula unit

Top of the stability list: #A, leading by 103.3 kJ/mol of atoms.

#A
Crystalline MnHAu at its relaxed geometry. Source: Alexandria via LeMat-Bulk, functional GGA-PBE.

a = 3.0026 Å, b = 4.9358 Å, c = 7.2989 Å
α = 131.27°, β = 90.00°, γ = 107.71°
With the nearest neighbours (Å) after each atom.
Fractional coordinates of all 6 atoms:
H 0.5274 0.0548 0.6849  3 Mn 1.77-1.81
H 0.2606 0.5212 0.0506  2 Mn 1.77-1.78, 1 Au 1.94
Mn 0.0004 0.0008 0.7870  3 H 1.77-1.78
Mn 0.3246 0.6493 0.3433  2 H 1.77-1.81
Au 0.1558 0.3117 0.5485  2 H 2.52, 4 Mn 2.78-2.82
Au 0.4877 0.9755 0.0922  1 H 1.94

Results
* symmetry: Cm
* M_tot: 3.63 μB per formula unit

#B
Crystalline MnHAu at its relaxed geometry. Source: Alexandria via LeMat-Bulk, functional GGA-PBE.

a = 2.9518 Å, b = 2.9518 Å, c = 4.5933 Å
α = 90.00°, β = 90.00°, γ = 120.00°
With the nearest neighbours (Å) after each atom.
Fractional coordinates of all 3 atoms:
H 0.3333 0.6667 0.5282  3 Mn 1.72
Mn 0.6667 0.3333 0.4804  3 H 1.72
Au 0.0000 0.0000 0.9915  6 H 2.73-3.00, 6 Mn 2.82-2.90, 6 Au 2.95

Results
* symmetry: P3m1
* M_tot: 3.33 μB per formula unit

Top of the stability list: #B, leading by 3.5 kJ/mol of atoms.

#A
Crystalline MnHPd2Au at its relaxed geometry. Source: Alexandria via LeMat-Bulk, functional GGA-PBE.

a = 4.0574 Å, b = 4.0574 Å, c = 4.0419 Å
α = 90.00°, β = 90.00°, γ = 90.00°
With the nearest neighbours (Å) after each atom.
Fractional coordinates of all 5 atoms:
H 0.0000 0.0000 0.0000  2 Au 2.02, 4 Pd 2.03
Mn 0.5000 0.5000 0.5000  8 Pd 2.86, 4 Au 2.87
Au 0.0000 0.0000 0.5000  2 H 2.02
Pd 0.0000 0.5000 0.0000  2 H 2.03
Pd 0.5000 0.0000 0.0000  2 H 2.03

Results
* symmetry: P4/mmm
* M_tot: 4.92 μB per formula unit

#B
Crystalline MnHPd2Au at its relaxed geometry. Source: Alexandria via LeMat-Bulk, functional GGA-PBE.

a = 4.0096 Å, b = 4.0096 Å, c = 4.0803 Å
α = 90.00°, β = 90.00°, γ = 90.00°
With the nearest neighbours (Å) after each atom.
Fractional coordinates of all 5 atoms:
H 0.0000 0.0000 0.0000  4 Pd 2.00, 2 Mn 2.04
Mn 0.0000 0.0000 0.5000  2 H 2.04
Au 0.5000 0.5000 0.5000  4 Mn 2.84, 8 Pd 2.86
Pd 0.0000 0.5000 0.0000  2 H 2.00
Pd 0.5000 0.0000 0.0000  2 H 2.00

Results
* symmetry: P4/mmm
* M_tot: 4.60 μB per formula unit

Top of the stability list: #B, leading by 5.4 kJ/mol of atoms.

#A
Crystalline MnHRh2Au at its relaxed geometry. Source: Alexandria via LeMat-Bulk, functional GGA-PBE.

a = 3.9437 Å, b = 3.9437 Å, c = 4.0074 Å
α = 90.00°, β = 90.00°, γ = 90.00°
With the nearest neighbours (Å) after each atom.
Fractional coordinates of all 5 atoms:
Rh 0.0000 0.5000 0.0000  2 H 1.97
Rh 0.5000 0.0000 0.0000  2 H 1.97
Mn 0.0000 0.0000 0.5000  2 H 2.00
Au 0.5000 0.5000 0.5000  4 Mn 2.79, 8 Rh 2.81
H 0.0000 0.0000 0.0000  4 Rh 1.97, 2 Mn 2.00

Results
* symmetry: P4/mmm
* M_tot: 4.50 μB per formula unit

#B
Crystalline MnHRh2Au at its relaxed geometry. Source: Alexandria via LeMat-Bulk, functional GGA-PBE.

a = 3.9572 Å, b = 3.9572 Å, c = 4.0367 Å
α = 90.00°, β = 90.00°, γ = 90.00°
With the nearest neighbours (Å) after each atom.
Fractional coordinates of all 5 atoms:
Rh 0.0000 0.5000 0.0000  2 H 1.98
Rh 0.5000 0.0000 0.0000  2 H 1.98
Mn 0.5000 0.5000 0.5000  4 Au 2.80, 8 Rh 2.83
Au 0.0000 0.0000 0.5000  2 H 2.02
H 0.0000 0.0000 0.0000  4 Rh 1.98, 2 Au 2.02

Results
* symmetry: P4/mmm
* M_tot: 4.22 μB per formula unit

Top of the stability list: #A, leading by 7.7 kJ/mol of atoms.